Computed, not measured: a relaxed structure of LiOsRu2 at the PBE-GGA level of DFT.

a = 4.2385 Å, b = 4.2385 Å, c = 4.2385 Å
α = 60.00°, β = 60.00°, γ = 60.00°
Fractional coordinates of all 4 atoms:
Os: 0.7500 0.7500 0.7500
Li: 0.5000 0.5000 0.5000
Ru: 0.0000 0.0000 0.0000
Ru: 0.2500 0.2500 0.2500

- energy of formation (eV/atom) = 0.365
- magnetization (μB/f.u.) = 0.00
- offset from the most stable computed form (kJ/mol of formula units) = 68.3
- uncorrected energy (eV/atom) = -7.56
- SG = F-43m (216)

***

Computed, not measured: a relaxed structure of Li2OsRu at the PBE-GGA level of DFT.

a = 2.8038 Å, b = 2.8038 Å, c = 7.4178 Å
α = 90.00°, β = 90.00°, γ = 90.00°
Fractional coordinates of all 4 atoms:
Li: 0.5000 0.5000 0.2622
Os: 0.0000 0.0000 0.5156
Li: 0.0000 0.0000 0.9873
Ru: 0.5000 0.5000 0.7349

- energy of formation (eV/atom) = 0.195
- magnetization (μB/f.u.) = 0.00
- offset from the most stable computed form (kJ/mol of formula units) = 37.3
- uncorrected energy (eV/atom) = -5.89
- SG = P4mm (99)

***

Computed, not measured: a relaxed structure of LiOsRu2 at the PBE-GGA level of DFT.

a = 2.8459 Å, b = 2.8459 Å, c = 6.4052 Å
α = 90.00°, β = 90.00°, γ = 90.00°
Fractional coordinates of all 4 atoms:
Ru: 0.0000 0.0000 0.9988
Os: 0.5000 0.5000 0.7305
Li: 0.0000 0.0000 0.4968
Ru: 0.5000 0.5000 0.2740

- energy of formation (eV/atom) = 0.331
- magnetization (μB/f.u.) = 0.00
- offset from the most stable computed form (kJ/mol of formula units) = 55.3
- uncorrected energy (eV/atom) = -7.59
- SG = P4mm (99)

***

Computed, not measured: a relaxed structure of Li2OsRu at the PBE-GGA level of DFT.

a = 2.6694 Å, b = 3.9615 Å, c = 5.4297 Å
α = 90.00°, β = 90.00°, γ = 90.00°
Fractional coordinates of all 4 atoms:
Li: 0.5000 0.5000 0.2339
Ru: 0.5000 0.5000 0.7096
Os: 0.0000 0.0000 0.5373
Li: 0.0000 0.0000 0.0192

- energy of formation (eV/atom) = 0.131
- magnetization (μB/f.u.) = 0.00
- offset from the most stable computed form (kJ/mol of formula units) = 12.5
- uncorrected energy (eV/atom) = -5.95
- SG = Pmm2 (25)